# 1
{"formula": "KGdHgPb", "functional": "PBE", "state": "relaxed", "lattice": [[0.000, 3.948, 3.948], [3.948, 0.000, 3.948], [3.948, 3.948, 0.000]], "species": ["K", "Gd", "Hg", "Pb"], "frac_coords": [[0.000, 0.000, 0.000], [0.500, 0.500, 0.500], [0.250, 0.250, 0.250], [0.750, 0.750, 0.750]], "dos_at_fermi_per_ev_cell": 3.3, "e_tot_ev_per_atom": -5.047, "magmom_total_mub_per_cell": 6.877}

=====

# 2
{"formula": "LiPtAuF6", "functional": "PBE", "state": "relaxed", "lattice": [[5.340, 0.000, 0.000], [-2.670, 4.624, 0.000], [0.000, 0.000, 10.630]], "species": ["Li", "Li", "Pt", "Pt", "Au", "Au", "F", "F", "F", "F", "F", "F", "F", "F", "F", "F", "F", "F"], "frac_coords": [[0.333, 0.667, 0.250], [0.667, 0.333, 0.750], [0.333, 0.667, 0.750], [0.667, 0.333, 0.250], [0.000, 0.000, 0.000], [0.000, 0.000, 0.500], [0.013, 0.363, 0.647], [0.013, 0.650, 0.853], [0.350, 0.363, 0.853], [0.350, 0.987, 0.647], [0.363, 0.013, 0.147], [0.363, 0.350, 0.353], [0.637, 0.650, 0.647], [0.637, 0.987, 0.853], [0.650, 0.013, 0.353], [0.650, 0.637, 0.147], [0.987, 0.350, 0.147], [0.987, 0.637, 0.353]], "e_form_raw_ev_per_atom": -1.505, "e_tot_ev_per_atom": -4.001, "magmom_total_mub_per_cell": 0.000}

=====

# 3
{"formula": "CuRuW", "functional": "PBE", "state": "relaxed", "lattice": [[0.000, 2.191, 6.440], [1.546, 0.000, 6.440], [1.546, 2.191, 0.000]], "species": ["Cu", "Ru", "W"], "frac_coords": [[0.000, 0.000, 0.000], [0.333, 0.333, 0.667], [0.668, 0.668, 0.332]], "dos_at_fermi_per_ev_cell": 2.9, "e_tot_ev_per_atom": -8.429, "polymorph_energy_ev_per_atom": 0.236, "magmom_total_mub_per_cell": 0.522}

=====

# 4
{"formula": "AlNiPb2", "functional": "PBE", "state": "relaxed", "lattice": [[0.000, 3.565, 3.565], [3.565, 0.000, 3.565], [3.565, 3.565, 0.000]], "species": ["Al", "Ni", "Pb", "Pb"], "frac_coords": [[0.000, 0.000, 0.000], [0.250, 0.250, 0.250], [0.500, 0.500, 0.500], [0.750, 0.750, 0.750]], "dos_at_fermi_per_ev_cell": 3.5, "e_tot_ev_per_atom": -3.773, "magmom_total_mub_per_cell": 0.000}

=====

# 5
{"formula": "PmDyBi", "functional": "PBE", "state": "relaxed", "lattice": [[4.372, 0.000, 0.000], [0.000, 4.372, 0.000], [0.000, 0.000, 11.065]], "species": ["Pm", "Pm", "Dy", "Dy", "Bi", "Bi"], "frac_coords": [[0.250, 0.250, 0.089], [0.750, 0.750, 0.911], [0.250, 0.250, 0.660], [0.750, 0.750, 0.340], [0.250, 0.250, 0.373], [0.750, 0.750, 0.627]], "dos_at_fermi_per_ev_cell": 6.3, "e_tot_ev_per_atom": -4.757, "polymorph_energy_ev_per_atom": 0.286, "magmom_total_mub_per_cell": 0.877}

=====

# 6
{"formula": "PrAgRh", "functional": "PBE", "state": "relaxed", "lattice": [[4.613, 0.000, 0.000], [-2.306, 3.995, 0.000], [0.000, 0.000, 3.687]], "species": ["Pr", "Ag", "Rh"], "frac_coords": [[0.000, 0.000, 0.000], [0.333, 0.667, 0.500], [0.667, 0.333, 0.500]], "dos_at_fermi_per_ev_cell": 1.7, "e_tot_ev_per_atom": -5.276, "polymorph_energy_ev_per_atom": 0.134, "magmom_total_mub_per_cell": 0.000}

=====

# 7
{"formula": "LaHfZr2", "functional": "PBE", "state": "relaxed", "lattice": [[1.639, 0.946, 10.854], [-1.639, 0.946, 10.854], [0.000, -1.893, 10.854]], "species": ["La", "Hf", "Zr", "Zr"], "frac_coords": [[0.000, 0.000, 0.000], [0.500, 0.500, 0.500], [0.244, 0.244, 0.244], [0.756, 0.756, 0.756]], "dos_at_fermi_per_ev_cell": 6.1, "e_tot_ev_per_atom": -7.848, "polymorph_energy_ev_per_atom": 0.006, "magmom_total_mub_per_cell": 0.000}

=====

# 8
{"formula": "EuYInSn", "functional": "PBE", "state": "relaxed", "lattice": [[0.000, 3.841, 3.841], [3.841, 0.000, 3.841], [3.841, 3.841, 0.000]], "species": ["Eu", "Y", "In", "Sn"], "frac_coords": [[0.000, 0.000, 0.000], [0.500, 0.500, 0.500], [0.750, 0.750, 0.750], [0.250, 0.250, 0.250]], "dos_at_fermi_per_ev_cell": 2.0, "e_tot_ev_per_atom": -6.405, "magmom_total_mub_per_cell": 7.140}

=====

# 9
{"formula": "YSnPd2Rh", "functional": "PBE", "state": "relaxed", "lattice": [[5.053, 0.000, 0.000], [0.000, 5.053, 0.000], [0.000, 0.000, 4.896]], "species": ["Y", "Sn", "Pd", "Pd", "Rh"], "frac_coords": [[0.000, 0.000, 0.000], [0.500, 0.500, 0.500], [0.000, 0.500, 0.000], [0.500, 0.000, 0.000], [0.000, 0.000, 0.500]], "dos_at_fermi_per_ev_cell": 3.3, "e_tot_ev_per_atom": -5.084, "magmom_total_mub_per_cell": 0.000}

=====

# 10
{"formula": "NbTlTeO5", "functional": "PBE", "state": "relaxed", "lattice": [[3.732, -4.770, 0.000], [3.732, 4.770, 0.000], [-2.353, 0.000, 7.291]], "species": ["Nb", "Nb", "Tl", "Tl", "Te", "Te", "O", "O", "O", "O", "O", "O", "O", "O", "O", "O"], "frac_coords": [[0.000, 0.000, 0.000], [0.000, 0.000, 0.500], [0.325, 0.675, 0.750], [0.675, 0.325, 0.250], [0.330, 0.670, 0.250], [0.670, 0.330, 0.750], [0.060, 0.940, 0.750], [0.093, 0.699, 0.386], [0.167, 0.338, 0.048], [0.301, 0.907, 0.114], [0.338, 0.167, 0.548], [0.662, 0.833, 0.452], [0.699, 0.093, 0.886], [0.833, 0.662, 0.952], [0.907, 0.301, 0.614], [0.940, 0.060, 0.250]], "e_form_raw_ev_per_atom": -1.521, "e_tot_ev_per_atom": -6.568, "magmom_total_mub_per_cell": 0.000}

=====

# 11
{"formula": "InCuH", "functional": "PBE", "state": "relaxed", "lattice": [[3.062, 0.000, 0.000], [1.453, 4.565, 0.000], [1.233, 1.916, 6.141]], "species": ["In", "In", "Cu", "Cu", "H", "H"], "frac_coords": [[0.046, 0.187, 0.163], [0.954, 0.813, 0.837], [0.355, 0.267, 0.526], [0.645, 0.733, 0.474], [0.244, 0.640, 0.354], [0.756, 0.360, 0.646]], "dos_at_fermi_per_ev_cell": 1.2, "e_tot_ev_per_atom": -3.241, "polymorph_energy_ev_per_atom": 0.028, "magmom_total_mub_per_cell": 0.000}

=====

# 12
{"formula": "SnHIr2", "functional": "PBE", "state": "relaxed", "lattice": [[0.000, 3.055, 3.055], [3.055, 0.000, 3.055], [3.055, 3.055, 0.000]], "species": ["Sn", "H", "Ir", "Ir"], "frac_coords": [[0.000, 0.000, 0.000], [0.500, 0.500, 0.500], [0.250, 0.250, 0.250], [0.750, 0.750, 0.750]], "dos_at_fermi_per_ev_cell": 1.6, "e_tot_ev_per_atom": -5.715, "polymorph_energy_ev_per_atom": 0.322, "magmom_total_mub_per_cell": 0.000}